A relaxed structure of La3SnSbCl. Source: Alexandria via LeMat-Bulk, functional PBE.

crystal system	monoclinic
M_tot	0.02	μB/cell
calculated total energy	-63.01	eV per cell
theoretical density	5.556	g/cm³
raw formation energy	-1.125	eV/atom
DOS at the Fermi energy	8.16	states/eV per cell

```
La3SnSbCl
1.0
4.579 0.000 0.000
0.000 9.287 0.642
0.000 -2.935 9.533
Sn La Cl Sb
2 6 2 2
Direct
0.750 0.824 0.777
0.250 0.176 0.223
0.250 0.588 0.838
0.750 0.412 0.162
0.750 0.233 0.493
0.750 0.902 0.129
0.250 0.098 0.871
0.250 0.767 0.507
0.750 0.907 0.416
0.250 0.093 0.584
0.250 0.659 0.167
0.750 0.341 0.833
```